# AcPrHg2 PBE optimized geometry
data_AcPrHg2
_chemical_formula_sum 'Ac1 Pr1 Hg2'
_cell_length_a 4.086
_cell_length_b 4.086
_cell_length_c 9.690
_cell_angle_alpha 77.83
_cell_angle_beta 77.83
_cell_angle_gamma 60.00
_space_group_name_H-M_alt 'P 1'
_space_group_IT_number 1
loop_
_space_group_symop_operation_xyz
'x,y,z'
loop_
_atom_site_label
_atom_site_type_symbol
_atom_site_fract_x
_atom_site_fract_y
_atom_site_fract_z
Pr1 Pr 0.500 0.500 0.500
Hg1 Hg 0.246 0.246 0.262
Hg2 Hg 0.087 0.087 0.739
Ac1 Ac 0.667 0.667 0.000
# Formation energy from the elements, eV per formula unit: -1.3
# ρ, g/cm3: 9.4